# SrVO3

An optimized crystal structure of SrVO3 (PBE with a Hubbard U, Alexandria).

Values from the calculation:
Space-group type: No. 166
Total DFT energy (no corrections) in eV/atom: -7.278

extended XYZ file:
```
15
Lattice="5.569 0.000 0.000 -2.785 4.823 0.000 0.000 0.000 6.699" Properties=species:S:1:pos:R:3 pbc="T T T"
Sr 0.000 0.000 0.000
Sr 0.000 3.215 4.466
Sr 2.785 1.608 2.233
V 0.000 0.000 3.350
V 0.000 3.215 1.117
V 2.785 1.608 5.583
O -1.392 2.412 0.000
O 0.000 1.608 2.233
O -1.392 4.019 2.233
O 1.392 0.804 4.466
O 2.785 0.000 0.000
O 1.392 2.412 0.000
O 1.392 4.019 2.233
O 4.177 0.804 4.466
O 2.785 3.215 4.466
```